An optimized crystal structure of KLiCa. Source: the Alexandria database, functional PBEsol.

Properties
E_form: 0.16 eV per atom
size of the total moment: 0.0 μB/f.u.

a = 3.944 Å, b = 3.944 Å, c = 9.326 Å
α = 90.00°, β = 90.00°, γ = 120.00°
Atoms (fractional coordinates):
Ca1 0.000 0.000 0.037
Li1 0.667 0.333 0.315
K1 0.333 0.667 0.648